CePr6Tm8 | PBE | optimized geometry

Summary:
Formation energy from the elements (meV per atom): 127

Cell: 9.0305 9.0305 8.7155 Å, 58.80 58.80 60.00°
With the nearest neighbours (Å) after each atom.
Positions (direct):
1 Tm 0.2921 0.8864 0.5828  3 Pr 3.37-3.59, 5 Tm 3.41-3.45, 1 Ce 3.53
2 Tm 0.4231 0.4231 0.7307  4 Tm 3.22-3.41, 3 Pr 3.49
3 Pr 0.5392 0.0971 0.1348  4 Tm 3.37-3.59, 1 Ce 3.44, 2 Pr 3.55
4 Tm 0.8864 0.2387 0.5828  3 Pr 3.37-3.59, 5 Tm 3.41-3.45, 1 Ce 3.53
5 Pr 0.4608 0.9029 0.8652  4 Tm 3.37-3.59, 1 Ce 3.44, 2 Pr 3.55
6 Pr 0.0971 0.2290 0.1348  4 Tm 3.37-3.59, 1 Ce 3.44, 2 Pr 3.55
7 Tm 0.7079 0.1136 0.4172  3 Pr 3.37-3.59, 5 Tm 3.41-3.45, 1 Ce 3.53
8 Tm 0.2387 0.2921 0.5828  3 Pr 3.37-3.59, 5 Tm 3.41-3.45, 1 Ce 3.53
9 Tm 0.1136 0.7613 0.4172  3 Pr 3.37-3.59, 5 Tm 3.41-3.45, 1 Ce 3.53
10 Pr 0.9029 0.7710 0.8652  4 Tm 3.37-3.59, 1 Ce 3.44, 2 Pr 3.55
11 Pr 0.7710 0.4608 0.8652  4 Tm 3.37-3.59, 1 Ce 3.44, 2 Pr 3.55
12 Tm 0.7613 0.7079 0.4172  3 Pr 3.37-3.59, 5 Tm 3.41-3.45, 1 Ce 3.53
13 Ce 0.0000 0.0000 0.0000  6 Pr 3.44, 6 Tm 3.53
14 Pr 0.2290 0.5392 0.1348  4 Tm 3.37-3.59, 1 Ce 3.44, 2 Pr 3.55
15 Tm 0.5769 0.5769 0.2693  4 Tm 3.22-3.41, 3 Pr 3.49

---

Ce2PuGe3 | PBE | optimized geometry

Summary:
Formation energy from the elements (meV per atom): -481

Cell: 5.9563 8.4663 7.2894 Å, 106.88 114.11 90.00°
With the nearest neighbours (Å) after each atom.
Positions (direct):
1 Pu 0.0006 0.2500 0.0000  6 Ge 2.96-2.98
2 Ce 0.6672 0.5837 0.3347  6 Ge 2.98-3.00
3 Ge 0.8357 0.4178 0.6711  2 Pu 2.96, 4 Ce 2.98-3.00
4 Ge 0.5008 0.2500 0.0000  2 Pu 2.98, 4 Ce 2.99
5 Ce 0.3326 0.9163 0.6653  6 Ge 2.98-3.00
6 Ge 0.1645 0.0822 0.3289  2 Pu 2.96, 4 Ce 2.98-3.00
7 Ge 0.4992 0.7500 0.0000  2 Pu 2.98, 4 Ce 2.99
8 Ce 0.3328 0.4163 0.6653  6 Ge 2.98-3.00
9 Ge 0.1643 0.5822 0.3289  2 Pu 2.96, 4 Ce 2.98-3.00
10 Ge 0.8355 0.9178 0.6711  2 Pu 2.96, 4 Ce 2.98-3.00
11 Ce 0.6674 0.0837 0.3347  6 Ge 2.98-3.00
12 Pu 0.9994 0.7500 0.0000  6 Ge 2.96-2.98

---

Ac8PPt3S4 | PBE | optimized geometry

Summary:
ΔE_f (raw) (eV per atom): -1.567

Cell: 8.6830 8.9619 8.6829 Å, 118.98 120.00 90.00°
With the nearest neighbours (Å) after each atom.
Positions (direct):
1 Ac 0.2482 0.7424 0.4964  2 Pt 3.08, 1 P 3.10, 3 S 3.14-3.16
2 Pt 0.5000 0.5000 0.0000  6 Ac 3.07-3.08
3 S 0.0000 0.0000 0.5000  6 Ac 3.16-3.17
4 Ac 0.2540 0.2575 0.0057  2 Pt 3.08, 1 P 3.10, 3 S 3.14-3.16
5 S 0.5000 0.0000 0.0000  6 Ac 3.14
6 Ac 0.7518 0.2576 0.5036  2 Pt 3.08, 1 P 3.10, 3 S 3.14-3.16
7 S 0.0000 0.0000 0.0000  6 Ac 3.16-3.17
8 Ac 0.7518 0.2575 0.0057  2 Pt 3.08, 1 P 3.10, 3 S 3.14-3.16
9 P 0.0000 0.5000 0.0000  6 Ac 3.10
10 S 0.5000 0.0000 0.5000  6 Ac 3.16-3.17
11 Ac 0.2539 0.2618 0.5078  3 Pt 3.07, 3 S 3.17
12 Ac 0.7461 0.7382 0.4922  3 Pt 3.07, 3 S 3.17
13 Ac 0.7460 0.7425 0.9943  2 Pt 3.08, 1 P 3.10, 3 S 3.14-3.16
14 Pt 0.0000 0.5000 0.5000  6 Ac 3.07-3.08
15 Pt 0.5000 0.5000 0.5000  6 Ac 3.07-3.08
16 Ac 0.2482 0.7425 0.9943  2 Pt 3.08, 1 P 3.10, 3 S 3.14-3.16

---

Rb2Ge2Au | PBE | optimized geometry

Summary:
E above lowest polymorph (eV/atom): 0.0000
Formation energy from the elements (meV per atom): -32

Cell: 6.8897 6.8897 5.9484 Å, 90.00 90.00 90.00°
With the nearest neighbours (Å) after each atom.
Positions (direct):
1 Rb 0.6826 0.8174 0.5000  6 Ge 3.49-3.69, 5 Rb 3.56-3.57, 4 Au 3.90
2 Au 0.5000 0.5000 0.0000  4 Ge 2.70
3 Rb 0.3174 0.1826 0.5000  6 Ge 3.49-3.69, 5 Rb 3.56-3.57, 4 Au 3.90
4 Ge 0.8695 0.6305 0.0000  1 Ge 2.54, 2 Au 2.70
5 Ge 0.1305 0.3695 0.0000  1 Ge 2.54, 2 Au 2.70
6 Ge 0.6305 0.1305 0.0000  1 Ge 2.54, 2 Au 2.70
7 Au 0.0000 0.0000 0.0000  4 Ge 2.70
8 Ge 0.3695 0.8695 0.0000  1 Ge 2.54, 2 Au 2.70
9 Rb 0.1826 0.6826 0.5000  6 Ge 3.49-3.69, 5 Rb 3.56-3.57, 4 Au 3.90
10 Rb 0.8174 0.3174 0.5000  6 Ge 3.49-3.69, 5 Rb 3.56-3.57, 4 Au 3.90

---

NaAg2As | PBE | optimized geometry

Summary:
E above lowest polymorph (eV/atom): 0.3046
Formation energy from the elements (meV per atom): 202

Cell: 3.0305 3.0305 10.4966 Å, 81.70 81.70 60.00°
With the nearest neighbours (Å) after each atom.
Positions (direct):
1 Ag 0.0915 0.0915 0.7254  1 Na 2.84, 3 As 2.92, 6 Ag 3.03
2 Na 0.0000 0.0000 0.0000  2 Ag 2.84, 6 Na 3.03
3 As 0.5000 0.5000 0.5000  6 Ag 2.92, 6 As 3.03
4 Ag 0.9085 0.9085 0.2746  1 Na 2.84, 3 As 2.92, 6 Ag 3.03

---

CeMgNiRh | PBE | optimized geometry

Summary:
Formation energy from the elements (meV per atom): -414

Cell: 4.6818 4.6818 4.6818 Å, 60.00 60.00 60.00°
With the nearest neighbours (Å) after each atom.
Positions (direct):
1 Ni 0.0000 0.0000 0.0000  4 Mg 2.87, 4 Ce 2.87
2 Rh 0.5000 0.5000 0.5000  4 Ce 2.87, 4 Mg 2.87
3 Mg 0.2500 0.2500 0.2500  4 Ni 2.87, 4 Rh 2.87
4 Ce 0.7500 0.7500 0.7500  4 Ni 2.87, 4 Rh 2.87

---

TbYEr2Tm6 | PBE | optimized geometry

Summary:
Formation energy from the elements (meV per atom): 122

Cell: 9.4278 8.6788 8.6788 Å, 118.07 93.78 93.78°
With the nearest neighbours (Å) after each atom.
Positions (direct):
1 Er 0.4558 0.8052 0.6957  6 Tm 3.22-3.53, 2 Y 3.34-3.36, 1 Tb 3.52
2 Tm 0.4433 0.2499 0.8735  7 Tm 3.34-3.67, 1 Er 3.43, 1 Y 3.64
3 Tm 0.6840 0.0229 0.5714  4 Tm 3.17-3.54, 2 Er 3.32-3.53, 1 Tb 3.45, 1 Y 3.53
4 Tb 0.7500 0.5910 0.4090  8 Tm 3.37-3.76, 2 Er 3.52
5 Y 0.2500 0.9767 0.0233  4 Er 3.34-3.36, 4 Tm 3.53-3.64
6 Er 0.5442 0.1948 0.3043  6 Tm 3.22-3.53, 2 Y 3.34-3.36, 1 Tb 3.52
7 Tm 0.1193 0.7108 0.4977  4 Tm 3.17-3.47, 3 Er 3.22-3.36, 2 Tb 3.37-3.49
8 Tm 0.5567 0.7501 0.1265  7 Tm 3.34-3.67, 1 Er 3.43, 1 Y 3.64
9 Tm 0.3807 0.5023 0.2892  4 Tm 3.17-3.47, 3 Er 3.22-3.36, 2 Tb 3.37-3.49
10 Tm 0.1840 0.5714 0.0229  4 Tm 3.17-3.54, 2 Er 3.32-3.53, 1 Tb 3.45, 1 Y 3.53
11 Tm 0.6193 0.4977 0.7108  4 Tm 3.17-3.47, 3 Er 3.22-3.36, 2 Tb 3.37-3.49
12 Tm 0.9433 0.8735 0.2499  7 Tm 3.34-3.67, 1 Er 3.43, 1 Y 3.64
13 Tm 0.0567 0.1265 0.7501  7 Tm 3.34-3.67, 1 Er 3.43, 1 Y 3.64
14 Er 0.0442 0.3043 0.1948  6 Tm 3.22-3.53, 2 Y 3.34-3.36, 1 Tb 3.52
15 Tm 0.8807 0.2892 0.5023  4 Tm 3.17-3.47, 3 Er 3.22-3.36, 2 Tb 3.37-3.49
16 Tm 0.3160 0.9771 0.4286  4 Tm 3.17-3.54, 2 Er 3.32-3.53, 1 Tb 3.45, 1 Y 3.53
17 Y 0.7500 0.0233 0.9767  4 Er 3.34-3.36, 4 Tm 3.53-3.64
18 Tm 0.8160 0.4286 0.9771  4 Tm 3.17-3.54, 2 Er 3.32-3.53, 1 Tb 3.45, 1 Y 3.53
19 Er 0.9558 0.6957 0.8052  6 Tm 3.22-3.53, 2 Y 3.34-3.36, 1 Tb 3.52
20 Tb 0.2500 0.4090 0.5910  8 Tm 3.37-3.76, 2 Er 3.52

---

Ho2Ni3As4Ir | PBE | optimized geometry

Summary:
Formation energy from the elements (meV per atom): -740

Cell: 4.1702 4.1702 9.5654 Å, 90.00 90.00 90.00°
With the nearest neighbours (Å) after each atom.
Positions (direct):
1 Ho 0.0000 0.5000 0.7521  8 As 3.14-3.16, 6 Ni 3.19, 2 Ir 3.19
2 Ni 0.0000 0.0000 0.5000  4 As 2.48
3 As 0.0000 0.5000 0.3603  3 Ni 2.30-2.48, 2 Ir 2.48
4 Ir 0.5000 0.5000 0.5000  4 As 2.48
5 Ni 0.0000 0.5000 0.1198  5 As 2.30-2.38
6 As 0.5000 0.5000 0.0000  4 Ni 2.38
7 Ho 0.5000 0.0000 0.2479  8 As 3.14-3.16, 6 Ni 3.19, 2 Ir 3.19
8 As 0.0000 0.0000 0.0000  4 Ni 2.38
9 As 0.5000 0.0000 0.6397  3 Ni 2.30-2.48, 2 Ir 2.48
10 Ni 0.5000 0.0000 0.8802  5 As 2.30-2.38

---

no.,total magnetic moment (μB/f.u.),DOS at the Fermi energy (states/eV per cell)
1,1.1,24.8
2,4.3,28.3
3,0.0,14.0
4,0.0,6.6
5,0.0,1.2
6,0.0,4.1
7,0.0,28.5
8,0.0,3.8